{"formula": "AlP", "functional": "PBE", "state": "relaxed", "lattice": [[-1.3200, -8.1182, -4.8417], [0.6744, -9.1499, -2.6294], [-2.4158, -9.0088, -2.0235]], "species": ["P", "P", "Al", "Al"], "fractional_positions": [[0.4721, 0.4721, 0.4721], [0.2779, 0.2779, 0.2779], [0.0021, 0.0021, 0.0021], [0.7480, 0.7480, 0.7480]], "spacegroup": "No. 166", "formation_energy_mev_per_atom": 226, "energy_ev_per_atom": -4.351, "magmom_total_mub_per_cell": 0.00}

---

{"formula": "Al3P5", "functional": "PBE", "state": "relaxed", "lattice": [[7.6238, 0.0000, 0.0000], [-3.8119, 6.6024, 0.0000], [0.0000, 0.0000, 5.2181]], "species": ["P", "P", "P", "P", "P", "P", "P", "P", "P", "P", "Al", "Al", "Al", "Al", "Al", "Al"], "fractional_positions": [[0.3333, 0.6667, 0.0000], [0.6667, 0.3333, 0.5000], [0.6667, 0.3333, 0.0000], [0.3333, 0.6667, 0.5000], [0.3198, 0.0000, 0.2500], [0.6802, 0.0000, 0.7500], [0.0000, 0.3198, 0.2500], [0.6802, 0.6802, 0.2500], [0.3198, 0.3198, 0.7500], [0.0000, 0.6802, 0.7500], [0.6511, 0.0000, 0.2500], [0.3489, 0.0000, 0.7500], [0.0000, 0.6511, 0.2500], [0.3489, 0.3489, 0.2500], [0.6511, 0.6511, 0.7500], [0.0000, 0.3489, 0.7500]], "spacegroup": "No. 193", "formation_energy_mev_per_atom": 225, "energy_ev_per_atom": -4.559, "magmom_total_mub_per_cell": 0.00}

---

{"formula": "AlP3", "functional": "PBE", "state": "relaxed", "lattice": [[-4.4330, 0.5121, 2.0245], [-2.0882, -1.0382, -4.3098], [-0.0215, -4.7615, 1.1575]], "species": ["Al", "Al", "P", "P", "P", "P", "P", "P"], "fractional_positions": [[0.0000, 0.0000, 0.0000], [0.5000, 0.5000, 0.5000], [0.7500, 0.5000, 0.0000], [0.2500, 0.5000, 0.0000], [0.0000, 0.7500, 0.5000], [0.0000, 0.2500, 0.5000], [0.5000, 0.0000, 0.2500], [0.5000, 0.0000, 0.7500]], "spacegroup": "No. 223", "formation_energy_mev_per_atom": 537, "energy_ev_per_atom": -4.456, "magmom_total_mub_per_cell": 0.00}

---

{"formula": "AlP5", "functional": "PBE", "state": "relaxed", "lattice": [[0.9312, 4.6329, -3.0943], [-3.9933, -3.4421, 2.0276], [-0.3380, 2.8138, 4.1111]], "species": ["Al", "P", "P", "P", "P", "P"], "fractional_positions": [[0.0556, 0.9444, 0.0000], [0.3832, 0.6168, 0.0000], [0.7279, 0.2721, 0.0000], [0.3839, 0.6161, 0.5000], [0.7272, 0.2728, 0.5000], [0.0555, 0.9445, 0.5000]], "spacegroup": "No. 65", "formation_energy_mev_per_atom": 79, "energy_ev_per_atom": -5.053, "magmom_total_mub_per_cell": 0.00}

---

{"formula": "Al5P", "functional": "PBE", "state": "relaxed", "lattice": [[1.5052, 4.9013, 0.0917], [-1.5052, 4.9013, 0.0917], [0.0000, 2.6487, 6.6541]], "species": ["Al", "Al", "Al", "Al", "Al", "P"], "fractional_positions": [[0.3545, 0.3545, 0.8471], [0.0000, 0.0000, 0.5000], [0.6455, 0.6455, 0.1529], [0.6740, 0.6740, 0.6837], [0.3260, 0.3260, 0.3163], [0.0000, 0.0000, 0.0000]], "spacegroup": "No. 12", "formation_energy_mev_per_atom": 36, "energy_ev_per_atom": -3.985, "magmom_total_mub_per_cell": 0.00}

---

{"formula": "AlP", "functional": "PBE", "state": "relaxed", "lattice": [[3.8808, 0.0000, 0.0000], [0.0000, 5.8969, 0.0000], [0.0000, 0.0000, 11.8705]], "species": ["Al", "Al", "Al", "Al", "Al", "Al", "P", "P", "P", "P", "P", "P"], "fractional_positions": [[0.0000, 0.9149, 0.6492], [0.5000, 0.0851, 0.8508], [0.5000, 0.0851, 0.1492], [0.0000, 0.9149, 0.3508], [0.0000, 0.5845, 0.0000], [0.5000, 0.4155, 0.5000], [0.0000, 0.8486, 0.8491], [0.5000, 0.1514, 0.6509], [0.5000, 0.1514, 0.3491], [0.0000, 0.8486, 0.1509], [0.0000, 0.6456, 0.5000], [0.5000, 0.3544, 0.0000]], "spacegroup": "No. 59", "formation_energy_mev_per_atom": -493, "energy_ev_per_atom": -5.069, "magmom_total_mub_per_cell": 0.00}

---

{"formula": "AlP", "functional": "PBE", "state": "relaxed", "lattice": [[6.7633, 0.0000, 0.0000], [0.0000, 6.7633, 0.0000], [0.0000, 0.0000, 6.7633]], "species": ["Al", "Al", "Al", "Al", "Al", "Al", "P", "P", "P", "P", "P", "P"], "fractional_positions": [[0.2500, 0.0000, 0.5000], [0.7500, 0.0000, 0.5000], [0.0000, 0.5000, 0.2500], [0.0000, 0.5000, 0.7500], [0.5000, 0.2500, 0.0000], [0.5000, 0.7500, 0.0000], [0.2500, 0.5000, 0.0000], [0.7500, 0.5000, 0.0000], [0.5000, 0.0000, 0.2500], [0.5000, 0.0000, 0.7500], [0.0000, 0.2500, 0.5000], [0.0000, 0.7500, 0.5000]], "spacegroup": "No. 223", "formation_energy_mev_per_atom": -447, "energy_ev_per_atom": -5.023, "magmom_total_mub_per_cell": 0.00}

---

{"formula": "AlP", "functional": "PBE", "state": "relaxed", "lattice": [[3.8920, 0.0000, 0.0000], [-1.9460, 3.3705, 0.0000], [0.0000, 0.0000, 22.9266]], "species": ["P", "P", "P", "P", "P", "P", "Al", "Al", "Al", "Al", "Al", "Al"], "fractional_positions": [[0.0000, 0.0000, 0.0970], [0.0000, 0.0000, 0.9030], [0.3333, 0.6667, 0.4294], [0.3333, 0.6667, 0.2445], [0.6667, 0.3333, 0.7555], [0.6667, 0.3333, 0.5706], [0.0000, 0.0000, 0.2144], [0.0000, 0.0000, 0.7856], [0.3333, 0.6667, 0.5404], [0.3333, 0.6667, 0.8763], [0.6667, 0.3333, 0.1237], [0.6667, 0.3333, 0.4596]], "spacegroup": "No. 164", "formation_energy_mev_per_atom": -268, "energy_ev_per_atom": -4.844, "magmom_total_mub_per_cell": 0.00}